# 1
VASP calculation (GGA-PBE) on an optimized crystal structure of CuMo2Ru.

Cell: 3.873 3.873 7.742 Å, 90.00 90.00 90.00°
Space group I-4m2 (No. 119)
One atom of each set of equivalent atoms:
Cu1 0.000 0.000 0.000
Mo1 0.000 0.000 0.500
Mo2 0.000 0.500 0.750
Ru1 0.000 0.500 0.250

Summary:
crystal system = tetragonal
calculated total energy = -68.3 eV/cell
energy of formation from the pure elements = 0.225 eV per atom

---

# 2
VASP calculation (GGA-PBE) on an optimized crystal structure of Sm5Tm5Th2.

Cell: 15.134 5.032 11.302 Å, 90.00 116.80 90.00°
Space group C2/m (No. 12)
One atom of each set of equivalent atoms:
Sm1 0.000 0.000 0.000
Sm2 0.082 0.000 0.749
Sm3 0.250 0.000 0.253
Tm1 0.000 0.500 0.500
Tm2 0.085 0.500 0.255
Tm3 0.168 0.500 0.002
Th1 0.168 0.000 0.499

Summary:
crystal system = monoclinic
calculated total energy = -120.8 eV/cell
energy of formation from the pure elements = 0.031 eV per atom